(1)
# Ac8Ir3CCl4 GGA-PBE relaxed
# Crystal system: trigonal
# D(E_F), states/eV per atom: 0.537
# Raw total energy, eV for the cell shown: -282.12
data_Ac8Ir3CCl4
_chemical_formula_sum 'Ac24 Ir9 C3 Cl12'
_symmetry_space_group_name_H-M 'R -3 m'
_symmetry_Int_Tables_number 166
_symmetry_space_group_name_Hall '-R 3 2"'
_cell_length_a 8.5801
_cell_length_b 8.5801
_cell_length_c 23.7670
_cell_angle_alpha 90.00
_cell_angle_beta 90.00
_cell_angle_gamma 120.00
loop_
_atom_site_label
_atom_site_type_symbol
_atom_site_fract_x
_atom_site_fract_y
_atom_site_fract_z
Ac1 Ac 0.0000 0.0000 0.2353
Ac2 Ac 0.0122 0.5061 0.2316
Ir1 Ir 0.0000 0.5000 0.5000
C1 C 0.0000 0.0000 0.5000
Cl1 Cl 0.0000 0.0000 0.0000
Cl2 Cl 0.0000 0.5000 0.0000

(2)
# AcLaCCl GGA-PBE relaxed
# Crystal system: trigonal
# D(E_F), states/eV per atom: 0.591
# Raw total energy, eV for the cell shown: -71.44
data_AcLaCCl
_chemical_formula_sum 'Ac3 La3 C3 Cl3'
_symmetry_space_group_name_H-M 'R 3 m'
_symmetry_Int_Tables_number 160
_symmetry_space_group_name_Hall 'R 3 -2"'
_cell_length_a 3.9034
_cell_length_b 3.9034
_cell_length_c 22.9241
_cell_angle_alpha 90.00
_cell_angle_beta 90.00
_cell_angle_gamma 120.00
loop_
_atom_site_label
_atom_site_type_symbol
_atom_site_fract_x
_atom_site_fract_y
_atom_site_fract_z
Ac1 Ac 0.0000 0.0000 0.0000
La1 La 0.0000 0.0000 0.7948
C1 C 0.0000 0.0000 0.4010
Cl1 Cl 0.0000 0.0000 0.2254

(3)
# Ac4CNCl2 GGA-PBE relaxed
# Crystal system: monoclinic
# D(E_F), states/eV per atom: 0.370
# Raw total energy, eV for the cell shown: -46.69
data_Ac4CNCl2
_chemical_formula_sum 'Ac4 C1 N1 Cl2'
_symmetry_space_group_name_H-M 'P 1 2/m 1'
_symmetry_Int_Tables_number 10
_cell_length_a 6.807
_cell_length_b 3.943
_cell_length_c 8.024
_cell_angle_alpha 90.00
_cell_angle_beta 106.47
_cell_angle_gamma 90.00
loop_
_symmetry_equiv_pos_as_xyz
'x,y,z'
'-x,-y,-z'
'-x,y,-z'
'x,-y,z'
loop_
_atom_site_label
_atom_site_type_symbol
_atom_site_fract_x
_atom_site_fract_y
_atom_site_fract_z
Ac1 Ac 0.228 0.000 0.192
Ac2 Ac 0.264 0.500 0.807
C1 C 0.500 0.000 0.000
N1 N 0.000 0.500 0.000
Cl1 Cl 0.000 0.000 0.500
Cl2 Cl 0.500 0.500 0.500

(4)
# Ac6Ni2CCl3 GGA-PBE relaxed
# Crystal system: monoclinic
# D(E_F), states/eV per atom: 0.909
# Raw total energy, eV for the cell shown: -122.56
data_Ac6Ni2CCl3
_chemical_formula_sum 'Ac12 Ni4 C2 Cl6'
_symmetry_space_group_name_H-M 'C 1 2/m 1'
_symmetry_Int_Tables_number 12
_cell_length_a 19.717
_cell_length_b 4.121
_cell_length_c 9.189
_cell_angle_alpha 90.00
_cell_angle_beta 107.43
_cell_angle_gamma 90.00
loop_
_symmetry_equiv_pos_as_xyz
'x,y,z'
'-x,-y,-z'
'-x,y,-z'
'x,-y,z'
'x+1/2,y+1/2,z'
'-x+1/2,-y+1/2,-z'
'-x+1/2,y+1/2,-z'
'x+1/2,-y+1/2,z'
loop_
_atom_site_label
_atom_site_type_symbol
_atom_site_fract_x
_atom_site_fract_y
_atom_site_fract_z
Ac1 Ac 0.005 0.000 0.211
Ac2 Ac 0.148 0.500 0.099
Ac3 Ac 0.175 0.500 0.555
Ni1 Ni 0.165 0.000 0.332
C1 C 0.000 0.500 0.000
Cl1 Cl 0.000 0.500 0.500
Cl2 Cl 0.166 0.000 0.837

(5)
# Ac6NiC2Cl3 GGA-PBE relaxed
# Crystal system: monoclinic
# D(E_F), states/eV per atom: 0.812
# Raw total energy, eV for the cell shown: -128.81
data_Ac6NiC2Cl3
_chemical_formula_sum 'Ac12 Ni2 C4 Cl6'
_symmetry_space_group_name_H-M 'C 1 2/m 1'
_symmetry_Int_Tables_number 12
_cell_length_a 19.497
_cell_length_b 4.058
_cell_length_c 9.021
_cell_angle_alpha 90.00
_cell_angle_beta 108.84
_cell_angle_gamma 90.00
loop_
_symmetry_equiv_pos_as_xyz
'x,y,z'
'-x,-y,-z'
'-x,y,-z'
'x,-y,z'
'x+1/2,y+1/2,z'
'-x+1/2,-y+1/2,-z'
'-x+1/2,y+1/2,-z'
'x+1/2,-y+1/2,z'
loop_
_atom_site_label
_atom_site_type_symbol
_atom_site_fract_x
_atom_site_fract_y
_atom_site_fract_z
Ac1 Ac 0.022 0.000 0.234
Ac2 Ac 0.167 0.500 0.120
Ac3 Ac 0.179 0.500 0.548
Ni1 Ni 0.000 0.500 0.000
C1 C 0.175 0.000 0.330
Cl1 Cl 0.000 0.500 0.500
Cl2 Cl 0.161 0.000 0.819

(6)
# Ac2C2ClO6 GGA-PBE relaxed
# Crystal system: triclinic
# D(E_F), states/eV per atom: 0.041
# Raw total energy, eV for the cell shown: -82.19
data_Ac2C2ClO6
_chemical_formula_sum 'Ac2 C2 Cl1 O6'
_symmetry_space_group_name_H-M 'P -1'
_symmetry_Int_Tables_number 2
_cell_length_a 4.736
_cell_length_b 6.072
_cell_length_c 6.244
_cell_angle_alpha 89.57
_cell_angle_beta 72.08
_cell_angle_gamma 71.29
loop_
_symmetry_equiv_pos_as_xyz
'x,y,z'
'-x,-y,-z'
loop_
_atom_site_label
_atom_site_type_symbol
_atom_site_fract_x
_atom_site_fract_y
_atom_site_fract_z
Ac1 Ac 0.024 0.239 0.250
C1 C 0.422 0.142 0.640
Cl1 Cl 0.500 0.500 0.000
O1 O 0.241 0.324 0.566
O2 O 0.286 0.864 0.385
O3 O 0.289 0.039 0.818

(7)
# Ac4PCCl2 GGA-PBE relaxed
# Crystal system: monoclinic
# D(E_F), states/eV per atom: 0.406
# Raw total energy, eV for the cell shown: -44.30
data_Ac4PCCl2
_chemical_formula_sum 'Ac4 P1 C1 Cl2'
_symmetry_space_group_name_H-M 'P 1 2/m 1'
_symmetry_Int_Tables_number 10
_cell_length_a 7.419
_cell_length_b 4.182
_cell_length_c 7.810
_cell_angle_alpha 90.00
_cell_angle_beta 107.72
_cell_angle_gamma 90.00
loop_
_symmetry_equiv_pos_as_xyz
'x,y,z'
'-x,-y,-z'
'-x,y,-z'
'x,-y,z'
loop_
_atom_site_label
_atom_site_type_symbol
_atom_site_fract_x
_atom_site_fract_y
_atom_site_fract_z
Ac1 Ac 0.214 0.000 0.201
Ac2 Ac 0.241 0.500 0.789
P1 P 0.500 0.000 0.000
C1 C 0.000 0.500 0.000
Cl1 Cl 0.000 0.000 0.500
Cl2 Cl 0.500 0.500 0.500

(8)
# Ac6PC2Cl3 GGA-PBE relaxed
# Crystal system: monoclinic
# D(E_F), states/eV per atom: 0.375
# Raw total energy, eV for the cell shown: -134.00
data_Ac6PC2Cl3
_chemical_formula_sum 'Ac12 P2 C4 Cl6'
_symmetry_space_group_name_H-M 'C 1 2/m 1'
_symmetry_Int_Tables_number 12
_cell_length_a 19.282
_cell_length_b 4.122
_cell_length_c 9.009
_cell_angle_alpha 90.00
_cell_angle_beta 108.92
_cell_angle_gamma 90.00
loop_
_symmetry_equiv_pos_as_xyz
'x,y,z'
'-x,-y,-z'
'-x,y,-z'
'x,-y,z'
'x+1/2,y+1/2,z'
'-x+1/2,-y+1/2,-z'
'-x+1/2,y+1/2,-z'
'x+1/2,-y+1/2,z'
loop_
_atom_site_label
_atom_site_type_symbol
_atom_site_fract_x
_atom_site_fract_y
_atom_site_fract_z
Ac1 Ac 0.020 0.000 0.246
Ac2 Ac 0.166 0.500 0.128
Ac3 Ac 0.180 0.500 0.554
P1 P 0.000 0.500 0.000
C1 C 0.169 0.000 0.334
Cl1 Cl 0.000 0.500 0.500
Cl2 Cl 0.164 0.000 0.830

(9)
# AcPrCCl GGA-PBE relaxed
# Crystal system: trigonal
# D(E_F), states/eV per atom: 0.561
# Raw total energy, eV for the cell shown: -70.71
data_AcPrCCl
_chemical_formula_sum 'Ac3 Pr3 C3 Cl3'
_symmetry_space_group_name_H-M 'R 3 m'
_symmetry_Int_Tables_number 160
_symmetry_space_group_name_Hall 'R 3 -2"'
_cell_length_a 3.8758
_cell_length_b 3.8758
_cell_length_c 22.7532
_cell_angle_alpha 90.00
_cell_angle_beta 90.00
_cell_angle_gamma 120.00
loop_
_atom_site_label
_atom_site_type_symbol
_atom_site_fract_x
_atom_site_fract_y
_atom_site_fract_z
Ac1 Ac 0.0000 0.0000 0.0000
Pr1 Pr 0.0000 0.0000 0.7948
C1 C 0.0000 0.0000 0.4013
Cl1 Cl 0.0000 0.0000 0.2235

(10)
# Ac4PtCCl2 GGA-PBE relaxed
# Crystal system: monoclinic
# D(E_F), states/eV per atom: 0.832
# Raw total energy, eV for the cell shown: -43.73
data_Ac4PtCCl2
_chemical_formula_sum 'Ac4 Pt1 C1 Cl2'
_symmetry_space_group_name_H-M 'P 1 2/m 1'
_symmetry_Int_Tables_number 10
_cell_length_a 7.613
_cell_length_b 4.157
_cell_length_c 7.943
_cell_angle_alpha 90.00
_cell_angle_beta 108.16
_cell_angle_gamma 90.00
loop_
_symmetry_equiv_pos_as_xyz
'x,y,z'
'-x,-y,-z'
'-x,y,-z'
'x,-y,z'
loop_
_atom_site_label
_atom_site_type_symbol
_atom_site_fract_x
_atom_site_fract_y
_atom_site_fract_z
Ac1 Ac 0.212 0.000 0.204
Ac2 Ac 0.246 0.500 0.795
Pt1 Pt 0.500 0.000 0.000
C1 C 0.000 0.500 0.000
Cl1 Cl 0.000 0.000 0.500
Cl2 Cl 0.500 0.500 0.500

(11)
# Ac6RuC2Cl3 GGA-PBE relaxed
# Crystal system: monoclinic
# D(E_F), states/eV per atom: 0.569
# Raw total energy, eV for the cell shown: -136.25
data_Ac6RuC2Cl3
_chemical_formula_sum 'Ac12 Ru2 C4 Cl6'
_symmetry_space_group_name_H-M 'C 1 2/m 1'
_symmetry_Int_Tables_number 12
_cell_length_a 19.378
_cell_length_b 4.097
_cell_length_c 9.216
_cell_angle_alpha 90.00
_cell_angle_beta 110.38
_cell_angle_gamma 90.00
loop_
_symmetry_equiv_pos_as_xyz
'x,y,z'
'-x,-y,-z'
'-x,y,-z'
'x,-y,z'
'x+1/2,y+1/2,z'
'-x+1/2,-y+1/2,-z'
'-x+1/2,y+1/2,-z'
'x+1/2,-y+1/2,z'
loop_
_atom_site_label
_atom_site_type_symbol
_atom_site_fract_x
_atom_site_fract_y
_atom_site_fract_z
Ac1 Ac 0.019 0.000 0.240
Ac2 Ac 0.158 0.500 0.126
Ac3 Ac 0.181 0.500 0.555
Ru1 Ru 0.000 0.500 0.000
C1 C 0.167 0.000 0.339
Cl1 Cl 0.000 0.500 0.500
Cl2 Cl 0.168 0.000 0.829

(12)
# Ac8Ru3CCl3 GGA-PBE relaxed
# Crystal system: monoclinic
# D(E_F), states/eV per atom: 0.607
# Raw total energy, eV for the cell shown: -171.99
data_Ac8Ru3CCl3
_chemical_formula_sum 'Ac16 Ru6 C2 Cl6'
_symmetry_space_group_name_H-M 'C 1 2/m 1'
_symmetry_Int_Tables_number 12
_cell_length_a 14.767
_cell_length_b 8.519
_cell_length_c 9.303
_cell_angle_alpha 90.00
_cell_angle_beta 122.04
_cell_angle_gamma 90.00
loop_
_symmetry_equiv_pos_as_xyz
'x,y,z'
'-x,-y,-z'
'-x,y,-z'
'x,-y,z'
'x+1/2,y+1/2,z'
'-x+1/2,-y+1/2,-z'
'-x+1/2,y+1/2,-z'
'x+1/2,-y+1/2,z'
loop_
_atom_site_label
_atom_site_type_symbol
_atom_site_fract_x
_atom_site_fract_y
_atom_site_fract_z
Ac1 Ac 0.017 0.242 0.309
Ac2 Ac 0.225 0.000 0.691
Ac3 Ac 0.238 0.500 0.714
Ru1 Ru 0.000 0.500 0.500
Ru2 Ru 0.250 0.250 0.500
C1 C 0.000 0.000 0.500
Cl1 Cl 0.000 0.000 0.000
Cl2 Cl 0.250 0.250 0.000

(13)
# Ac4CSCl2 GGA-PBE relaxed
# Crystal system: monoclinic
# D(E_F), states/eV per atom: 0.433
# Raw total energy, eV for the cell shown: -43.69
data_Ac4CSCl2
_chemical_formula_sum 'Ac4 C1 S1 Cl2'
_symmetry_space_group_name_H-M 'P 1 2/m 1'
_symmetry_Int_Tables_number 10
_cell_length_a 7.448
_cell_length_b 4.143
_cell_length_c 7.629
_cell_angle_alpha 90.00
_cell_angle_beta 107.78
_cell_angle_gamma 90.00
loop_
_symmetry_equiv_pos_as_xyz
'x,y,z'
'-x,-y,-z'
'-x,y,-z'
'x,-y,z'
loop_
_atom_site_label
_atom_site_type_symbol
_atom_site_fract_x
_atom_site_fract_y
_atom_site_fract_z
Ac1 Ac 0.214 0.000 0.205
Ac2 Ac 0.235 0.500 0.786
C1 C 0.000 0.500 0.000
S1 S 0.500 0.000 0.000
Cl1 Cl 0.000 0.000 0.500
Cl2 Cl 0.500 0.500 0.500

(14)
# Ac4CSe2Cl GGA-PBE relaxed
# Crystal system: monoclinic
# D(E_F), states/eV per atom: 0.390
# Raw total energy, eV for the cell shown: -44.74
data_Ac4CSe2Cl
_chemical_formula_sum 'Ac4 C1 Se2 Cl1'
_symmetry_space_group_name_H-M 'P 1 2/m 1'
_symmetry_Int_Tables_number 10
_cell_length_a 7.584
_cell_length_b 4.256
_cell_length_c 7.586
_cell_angle_alpha 90.00
_cell_angle_beta 108.27
_cell_angle_gamma 90.00
loop_
_symmetry_equiv_pos_as_xyz
'x,y,z'
'-x,-y,-z'
'-x,y,-z'
'x,-y,z'
loop_
_atom_site_label
_atom_site_type_symbol
_atom_site_fract_x
_atom_site_fract_y
_atom_site_fract_z
Ac1 Ac 0.214 0.000 0.215
Ac2 Ac 0.228 0.500 0.770
C1 C 0.000 0.500 0.000
Se1 Se 0.000 0.000 0.500
Se2 Se 0.500 0.500 0.500
Cl1 Cl 0.500 0.000 0.000

(15)
# AcSmCCl GGA-PBE relaxed
# Crystal system: trigonal
# D(E_F), states/eV per atom: 0.546
# Raw total energy, eV for the cell shown: -70.84
data_AcSmCCl
_chemical_formula_sum 'Ac3 Sm3 C3 Cl3'
_symmetry_space_group_name_H-M 'R 3 m'
_symmetry_Int_Tables_number 160
_symmetry_space_group_name_Hall 'R 3 -2"'
_cell_length_a 3.8259
_cell_length_b 3.8259
_cell_length_c 22.5235
_cell_angle_alpha 90.00
_cell_angle_beta 90.00
_cell_angle_gamma 120.00
loop_
_atom_site_label
_atom_site_type_symbol
_atom_site_fract_x
_atom_site_fract_y
_atom_site_fract_z
Ac1 Ac 0.0000 0.0000 0.0000
Sm1 Sm 0.0000 0.0000 0.7941
C1 C 0.0000 0.0000 0.4040
Cl1 Cl 0.0000 0.0000 0.2201

(16)
# Ac3TeCCl GGA-PBE relaxed
# Crystal system: monoclinic
# D(E_F), states/eV per atom: 0.575
# Raw total energy, eV for the cell shown: -63.63
data_Ac3TeCCl
_chemical_formula_sum 'Ac6 Te2 C2 Cl2'
_symmetry_space_group_name_H-M 'P 1 21/m 1'
_symmetry_Int_Tables_number 11
_cell_length_a 9.119
_cell_length_b 4.321
_cell_length_c 10.411
_cell_angle_alpha 90.00
_cell_angle_beta 98.03
_cell_angle_gamma 90.00
loop_
_symmetry_equiv_pos_as_xyz
'x,y,z'
'-x,-y,-z'
'-x,y+1/2,-z'
'x,-y+1/2,z'
loop_
_atom_site_label
_atom_site_type_symbol
_atom_site_fract_x
_atom_site_fract_y
_atom_site_fract_z
Ac1 Ac 0.076 0.250 0.371
Ac2 Ac 0.160 0.250 0.897
Ac3 Ac 0.353 0.750 0.636
Te1 Te 0.351 0.750 0.313
C1 C 0.144 0.250 0.646
Cl1 Cl 0.384 0.750 0.924

(17)
# Ac5CoC4 GGA-PBE relaxed
# Crystal system: tetragonal
# ΔE_f, meV/atom: 480
# D(E_F), states/eV per atom: 0.954
# Raw total energy, eV for the cell shown: -119.50
data_Ac5CoC4
_chemical_formula_sum 'Ac10 Co2 C8'
_symmetry_space_group_name_H-M 'I 4/m'
_symmetry_Int_Tables_number 87
_symmetry_space_group_name_Hall '-I 4'
_cell_length_a 8.727
_cell_length_b 8.727
_cell_length_c 6.005
_cell_angle_alpha 90.00
_cell_angle_beta 90.00
_cell_angle_gamma 90.00
loop_
_atom_site_label
_atom_site_type_symbol
_atom_site_fract_x
_atom_site_fract_y
_atom_site_fract_z
Ac1 Ac 0.000 0.000 0.000
Ac2 Ac 0.108 0.311 0.500
Co1 Co 0.000 0.000 0.500
C1 C 0.100 0.304 0.000

(18)
# AcCo3C GGA-PBE relaxed
# Crystal system: hexagonal
# ΔE_f, meV/atom: 190
# D(E_F), states/eV per atom: 0.029
# Raw total energy, eV for the cell shown: -67.40
data_AcCo3C
_chemical_formula_sum 'Ac2 Co6 C2'
_symmetry_space_group_name_H-M 'P 63/m m c'
_symmetry_Int_Tables_number 194
_symmetry_space_group_name_Hall '-P 6c 2c'
_cell_length_a 5.9269
_cell_length_b 5.9269
_cell_length_c 4.9076
_cell_angle_alpha 90.00
_cell_angle_beta 90.00
_cell_angle_gamma 120.00
loop_
_atom_site_label
_atom_site_type_symbol
_atom_site_fract_x
_atom_site_fract_y
_atom_site_fract_z
Ac1 Ac 0.3333 0.6667 0.2500
Co1 Co 0.1429 0.2858 0.7500
C1 C 0.0000 0.0000 0.0000

(19)
# AcCo2C2 GGA-PBE relaxed
# Crystal system: tetragonal
# ΔE_f, meV/atom: -56
# D(E_F), states/eV per atom: 0.431
# Raw total energy, eV for the cell shown: -74.09
data_AcCo2C2
_chemical_formula_sum 'Ac2 Co4 C4'
_symmetry_space_group_name_H-M 'I 4/m m m'
_symmetry_Int_Tables_number 139
_symmetry_space_group_name_Hall '-I 4 2'
_cell_length_a 3.419
_cell_length_b 3.419
_cell_length_c 11.038
_cell_angle_alpha 90.00
_cell_angle_beta 90.00
_cell_angle_gamma 90.00
loop_
_atom_site_label
_atom_site_type_symbol
_atom_site_fract_x
_atom_site_fract_y
_atom_site_fract_z
Ac1 Ac 0.000 0.000 0.000
Co1 Co 0.000 0.500 0.250
C1 C 0.000 0.000 0.339

(20)
# AcCoC GGA-PBE relaxed
# Crystal system: triclinic
# ΔE_f, meV/atom: 7
# ΔE to the lowest computed polymorph, eV/atom: 0.000
# D(E_F), states/eV per atom: 0.804
# Raw total energy, eV for the cell shown: -40.84
data_AcCoC
_chemical_formula_sum 'Ac2 Co2 C2'
_symmetry_space_group_name_H-M 'P -1'
_symmetry_Int_Tables_number 2
_cell_length_a 4.175
_cell_length_b 4.290
_cell_length_c 6.535
_cell_angle_alpha 100.22
_cell_angle_beta 97.95
_cell_angle_gamma 98.19
loop_
_symmetry_equiv_pos_as_xyz
'x,y,z'
'-x,-y,-z'
loop_
_atom_site_label
_atom_site_type_symbol
_atom_site_fract_x
_atom_site_fract_y
_atom_site_fract_z
Ac1 Ac 0.187 0.414 0.246
Co1 Co 0.297 0.031 0.625
C1 C 0.434 0.029 0.907